Material: RbGeTe2N
Method: DFT, PBE
State: optimized geometry

## Properties
**E above lowest polymorph**: 1.399 eV/atom
**Magnetization**: 2.6 μB per formula unit
**E_form (uncorrected)**: 1651 meV per atom
**Theoretical density**: 3.55 g cm⁻³

Cell lengths 6.2984, 6.2984, 5.0319 Å; angles 90.00, 90.00, 90.00 degrees
Positions (direct):
Rb: 0.0000 0.0000 0.0000
Ge: 0.5000 0.5000 0.5000
Te: 0.0000 0.5000 0.0000
Te: 0.5000 0.0000 0.0000
N: 0.0000 0.0000 0.5000



Material: RbGeTeN2
Method: DFT, PBE
State: optimized geometry

## Properties
**E above lowest polymorph**: 0.000 eV/atom
**Magnetization**: 3.3 μB per formula unit
**E_form (uncorrected)**: 1190 meV per atom
**Theoretical density**: 4.66 g cm⁻³

Cell lengths 4.4893, 4.4893, 5.5415 Å; angles 90.00, 90.00, 90.00 degrees
Positions (direct):
Rb: 0.0000 0.0000 0.0000
Ge: 0.5000 0.5000 0.5000
Te: 0.5000 0.5000 0.0000
N: 0.0000 0.5000 0.5000
N: 0.5000 0.0000 0.5000



Material: RbGeTeN2
Method: DFT, PBE
State: optimized geometry

## Properties
**E above lowest polymorph**: 0.969 eV/atom
**Magnetization**: 5.0 μB per formula unit
**E_form (uncorrected)**: 2160 meV per atom
**Theoretical density**: 2.88 g cm⁻³

Cell lengths 4.9946, 4.9946, 7.2424 Å; angles 90.00, 90.00, 90.00 degrees
Positions (direct):
Rb: 0.0000 0.0000 0.0000
Ge: 0.5000 0.5000 0.5000
Te: 0.0000 0.0000 0.5000
N: 0.0000 0.5000 0.0000
N: 0.5000 0.0000 0.0000



Material: RbThGeN3
Method: DFT, PBE
State: optimized geometry

## Properties
**Magnetization**: 0.0 μB per formula unit
**E_form (uncorrected)**: -544 meV per atom
**Theoretical density**: 5.51 g cm⁻³

Cell lengths 8.5000, 3.6705, 8.5157 Å; angles 90.00, 101.40, 90.00 degrees
Positions (direct):
Rb: 0.1743 0.2500 0.1880
Rb: 0.8257 0.7500 0.8120
Th: 0.3722 0.7500 0.8462
Th: 0.6278 0.2500 0.1538
Ge: 0.0881 0.2500 0.6098
Ge: 0.9119 0.7500 0.3902
N: 0.1249 0.7500 0.5130
N: 0.1691 0.2500 0.8196
N: 0.4492 0.7500 0.1162
N: 0.5508 0.2500 0.8838
N: 0.8309 0.7500 0.1804
N: 0.8751 0.2500 0.4870



Material: Rb2UGeN4
Method: DFT, PBE
State: optimized geometry

## Properties
**Magnetization**: 0.0 μB per formula unit
**E_form (uncorrected)**: -323 meV per atom
**Theoretical density**: 5.53 g cm⁻³

Cell lengths 6.3059, 7.3767, 6.9389 Å; angles 90.00, 90.00, 90.00 degrees
Positions (direct):
Rb: 0.2500 0.0152 0.2293
Rb: 0.2500 0.4848 0.2293
Rb: 0.7500 0.5152 0.7707
Rb: 0.7500 0.9848 0.7707
U: 0.2500 0.2500 0.7081
U: 0.7500 0.7500 0.2919
Ge: 0.2500 0.7500 0.6308
Ge: 0.7500 0.2500 0.3692
N: 0.0095 0.7500 0.4685
N: 0.2500 0.5252 0.7685
N: 0.2500 0.9748 0.7685
N: 0.4905 0.7500 0.4685
N: 0.5095 0.2500 0.5315
N: 0.7500 0.0252 0.2315
N: 0.7500 0.4748 0.2315
N: 0.9905 0.2500 0.5315



Material: RbY2GeN
Method: DFT, PBE
State: optimized geometry

## Properties
**Magnetization**: 0.0 μB per formula unit
**E_form (uncorrected)**: 1054 meV per atom
**Theoretical density**: 3.23 g cm⁻³

Cell lengths 5.4221, 5.4221, 6.1132 Å; angles 90.00, 90.00, 90.00 degrees
Positions (direct):
Rb: 0.0000 0.0000 0.0000
Y: 0.0000 0.5000 0.5000
Y: 0.5000 0.0000 0.5000
Ge: 0.0000 0.0000 0.5000
N: 0.5000 0.5000 0.0000



Material: RbZrGeN3
Method: DFT, PBE
State: optimized geometry

## Properties
**Magnetization**: 0.0 μB per formula unit
**E_form (uncorrected)**: -549 meV per atom
**Theoretical density**: 4.07 g cm⁻³

Cell lengths 7.7840, 3.2921, 9.4545 Å; angles 90.00, 101.33, 90.00 degrees
Positions (direct):
Rb: 0.1610 0.2500 0.2097
Rb: 0.8390 0.7500 0.7903
Zr: 0.3858 0.7500 0.8760
Zr: 0.6142 0.2500 0.1240
Ge: 0.1210 0.2500 0.5892
Ge: 0.8790 0.7500 0.4108
N: 0.1368 0.7500 0.4833
N: 0.2044 0.2500 0.7801
N: 0.4198 0.7500 0.0943
N: 0.5802 0.2500 0.9057
N: 0.7956 0.7500 0.2199
N: 0.8632 0.2500 0.5167



Material: RbZrGeN2
Method: DFT, PBE
State: optimized geometry

## Properties
**Magnetization**: 0.0 μB per formula unit
**E_form (uncorrected)**: 2362 meV per atom
**Theoretical density**: 4.74 g cm⁻³

Cell lengths 4.3577, 4.3577, 5.1164 Å; angles 90.00, 90.00, 90.00 degrees
Positions (direct):
Rb: 0.0000 0.0000 0.0000
Zr: 0.5000 0.5000 0.5000
Ge: 0.0000 0.0000 0.5000
N: 0.0000 0.5000 0.0000
N: 0.5000 0.0000 0.0000



Material: ReGeN2
Method: DFT, PBE
State: optimized geometry

## Properties
**Magnetization**: 0.0 μB per formula unit
**E_form (uncorrected)**: 274 meV per atom
**Theoretical density**: 9.90 g cm⁻³

Cell lengths 6.8335, 6.8335, 6.8335 Å; angles 24.47, 24.47, 24.47 degrees
Positions (direct):
Re: 0.0000 0.0000 0.0000
Ge: 0.5000 0.5000 0.5000
N: 0.3952 0.3952 0.3952
N: 0.6048 0.6048 0.6048



Material: Re2Ge2N
Method: DFT, PBE
State: optimized geometry

## Properties
**E above lowest polymorph**: 0.028 eV/atom
**Magnetization**: 2.0 μB per formula unit
**E_form (uncorrected)**: 1396 meV per atom
**Theoretical density**: 10.58 g cm⁻³

Cell lengths 6.7409, 6.7409, 6.7409 Å; angles 148.48, 148.48, 45.18 degrees
Positions (direct):
Re: 0.2500 0.7500 0.5000
Re: 0.7500 0.2500 0.5000
Ge: 0.0972 0.0972 0.0000
Ge: 0.9028 0.9028 0.0000
N: 0.5000 0.5000 0.0000



Material: ReGe2N
Method: DFT, PBE
State: optimized geometry

## Properties
**Magnetization**: 1.3 μB per formula unit
**E_form (uncorrected)**: 719 meV per atom
**Theoretical density**: 9.56 g cm⁻³

Cell lengths 5.4690, 5.4690, 5.4690 Å; angles 117.25, 117.25, 94.84 degrees
Positions (direct):
Re: 0.0000 0.0000 0.0000
Re: 0.7500 0.2500 0.5000
Ge: 0.2004 0.6250 0.0754
Ge: 0.3750 0.4504 0.5754
Ge: 0.5496 0.1250 0.9246
Ge: 0.8750 0.7996 0.4246
N: 0.2500 0.7500 0.5000
N: 0.5000 0.5000 0.0000



Material: Re2GeN
Method: DFT, PBE
State: optimized geometry

## Properties
**E above lowest polymorph**: 0.000 eV/atom
**Magnetization**: 0.0 μB per formula unit
**E_form (uncorrected)**: 679 meV per atom
**Theoretical density**: 11.87 g cm⁻³

Cell lengths 6.9326, 6.9326, 6.9326 Å; angles 141.46, 141.46, 55.65 degrees
Positions (direct):
Re: 0.0170 0.6250 0.8920
Re: 0.3750 0.2670 0.3920
Re: 0.7330 0.1250 0.1080
Re: 0.8750 0.9830 0.6080
Ge: 0.2500 0.7500 0.5000
Ge: 0.5000 0.5000 0.0000
N: 0.0000 0.0000 0.0000
N: 0.7500 0.2500 0.5000



Material: Re2GeN
Method: DFT, PBE
State: optimized geometry

## Properties
**E above lowest polymorph**: 0.418 eV/atom
**Magnetization**: 0.0 μB per formula unit
**E_form (uncorrected)**: 1097 meV per atom
**Theoretical density**: 14.95 g cm⁻³

Cell lengths 4.1623, 4.1623, 4.1623 Å; angles 60.00, 60.00, 60.00 degrees
Positions (direct):
Re: 0.2500 0.2500 0.2500
Re: 0.7500 0.7500 0.7500
Ge: 0.0000 0.0000 0.0000
N: 0.5000 0.5000 0.5000



Material: ReGe3N
Method: DFT, PBE
State: optimized geometry

## Properties
**E above lowest polymorph**: 0.153 eV/atom
**Magnetization**: 2.0 μB per formula unit
**E_form (uncorrected)**: 1149 meV per atom
**Theoretical density**: 6.24 g cm⁻³

Cell lengths 4.8096, 4.8096, 4.8096 Å; angles 90.00, 90.00, 90.00 degrees
Positions (direct):
Re: 0.0000 0.0000 0.0000
Ge: 0.0000 0.0000 0.5000
Ge: 0.0000 0.5000 0.0000
Ge: 0.5000 0.0000 0.0000
N: 0.5000 0.5000 0.5000



Number 1: energy -2.388 eV/atom. Number 2: energy -3.885 eV/atom. Number 3: energy -2.916 eV/atom. Number 4: energy -6.874 eV/atom. Number 5: energy -6.716 eV/atom. Number 6: energy -4.313 eV/atom. Number 7: energy -7.067 eV/atom. Number 8: energy -3.795 eV/atom. Number 9: energy -8.155 eV/atom. Number 10: energy -7.095 eV/atom. Number 11: energy -6.783 eV/atom. Number 12: energy -8.781 eV/atom. Number 13: energy -8.363 eV/atom. Number 14: energy -5.776 eV/atom.